This record from Alexandria describes an optimized crystal structure of LiInAsAu2. The functional is GGA-PBE.

Unit cell a=4.716 b=4.497 c=4.716 alpha=90.00 beta=90.00 gamma=90.00
Element x y z (fractional)
Au 0.000 0.000 0.500
As 0.000 0.500 0.000
Au 0.500 0.000 0.000
Li 0.000 0.000 0.000
In 0.500 0.500 0.500

- V: 20.0 A^3/atom
- Size of the total moment: 0.0000 μB per atom
- Crystal system: tetragonal

This record from Alexandria describes an optimized crystal structure of LiInAsAu. The functional is GGA-PBE.

Unit cell a=4.785 b=4.785 c=4.785 alpha=60.00 beta=60.00 gamma=60.00
Element x y z (fractional)
Au 0.000 0.000 0.000
In 0.750 0.750 0.750
Li 0.250 0.250 0.250
As 0.500 0.500 0.500

- V: 19.4 A^3/atom
- Size of the total moment: 0.0000 μB per atom
- Crystal system: cubic

Computed values of calculated formation energy (unit: meV per atom) for the preceding records, in sequence: 195; -228.